{
  "formula": "Zr3Te4",
  "functional": "PBE",
  "state": "optimized geometry",
  "cell": [[4.2128, -5.7235, 0.0000], [4.2128, 5.7235, 0.0000], [0.0000, 0.0000, 4.0261]],
  "species": ["Zr", "Zr", "Zr", "Te", "Te", "Te", "Te"],
  "fractional_positions": [[0.0000, 0.0000, 0.0000], [0.0000, 0.5000, 0.5000], [0.5000, 0.0000, 0.5000], [0.2594, 0.2594, 0.5000], [0.2645, 0.7355, 0.0000], [0.7355, 0.2645, 0.0000], [0.7406, 0.7406, 0.5000]],
  "e_tot_ev_per_atom": -6.24,
  "raw_formation_energy_ev_per_atom": -0.780,
  "rho_g_cm3": 6.7,
  "crystal_system": "orthorhombic"
}

---

{
  "formula": "ZrTe3",
  "functional": "PBE",
  "state": "optimized geometry",
  "cell": [[-1.9425, 4.3869, 3.6425], [1.9425, -4.3869, 3.6425], [1.9425, 4.3869, -3.6425]],
  "species": ["Zr", "Te", "Te", "Te"],
  "fractional_positions": [[0.0000, 0.0000, 0.0000], [0.2963, 0.7963, 0.5000], [0.6017, 0.2742, 0.3275], [0.9466, 0.2742, 0.6725]],
  "e_tot_ev_per_atom": -5.02,
  "raw_formation_energy_ev_per_atom": -0.527,
  "rho_g_cm3": 6.3,
  "crystal_system": "orthorhombic"
}